## La2MoAu (PBE)

Data for La2MoAu after structural relaxation.

Cell lengths 8.012, 8.012, 6.488 Å; angles 51.87, 51.87, 90.00 degrees
Atoms (fractional coordinates):
La 0.154 0.625 0.250
La 0.875 0.846 0.750
La 0.375 0.404 0.750
La 0.596 0.125 0.250
Au 0.000 0.000 0.000
Au 0.750 0.250 0.500
Mo 0.250 0.750 0.500
Mo 0.500 0.500 0.000

Calculated values
- calculated volume (Å³/atom) = 25.36
- distance to the lowest polymorph of the same formula (meV/atom) = 300
- uncorrected energy (eV/atom) = -5.735
- formation energy (eV/atom) = 0.256
- density (g/cm3) = 9.341

---

## La2Mo2Au (PBE)

Data for La2Mo2Au after structural relaxation.

Cell lengths 8.757, 8.757, 3.429 Å; angles 90.00, 90.00, 90.00 degrees
Atoms (fractional coordinates):
La 0.803 0.697 0.000
La 0.697 0.197 0.000
La 0.197 0.303 0.000
La 0.303 0.803 0.000
Mo 0.911 0.411 0.500
Mo 0.089 0.589 0.500
Mo 0.411 0.089 0.500
Mo 0.589 0.911 0.500
Au 0.500 0.500 0.000
Au 0.000 0.000 0.000

Calculated values
- calculated volume (Å³/atom) = 26.29
- distance to the lowest polymorph of the same formula (meV/atom) = 490
- uncorrected energy (eV/atom) = -6.405
- formation energy (eV/atom) = 0.554
- density (g/cm3) = 8.421

---

## LaMoAu2 (PBE)

Data for LaMoAu2 after structural relaxation.

Cell lengths 10.201, 10.201, 10.201 Å; angles 17.26, 17.26, 17.26 degrees
Atoms (fractional coordinates):
Mo 0.750 0.750 0.750
La 0.250 0.250 0.250
Au 0.490 0.490 0.490
Au 0.010 0.010 0.010

Calculated values
- calculated volume (Å³/atom) = 20.38
- distance to the lowest polymorph of the same formula (meV/atom) = 303
- uncorrected energy (eV/atom) = -5.251
- formation energy (eV/atom) = 0.328
- density (g/cm3) = 12.807

---

## LaMoAu2 (PBE)

Data for LaMoAu2 after structural relaxation.

Cell lengths 5.782, 5.782, 5.312 Å; angles 62.74, 62.74, 32.36 degrees
Atoms (fractional coordinates):
La 0.489 0.489 0.443
Au 0.259 0.259 0.285
Au 0.016 0.016 0.910
Mo 0.736 0.736 0.862

Calculated values
- calculated volume (Å³/atom) = 20.89
- distance to the lowest polymorph of the same formula (meV/atom) = 60
- uncorrected energy (eV/atom) = -5.494
- formation energy (eV/atom) = 0.084
- density (g/cm3) = 12.496

---

## LaMoAu (PBE)

Data for LaMoAu after structural relaxation.

Cell lengths 4.886, 4.886, 4.886 Å; angles 60.00, 60.00, 60.00 degrees
Atoms (fractional coordinates):
Au 0.500 0.500 0.500
Mo 0.000 0.000 0.000
La 0.250 0.250 0.250

Calculated values
- calculated volume (Å³/atom) = 27.49
- distance to the lowest polymorph of the same formula (meV/atom) = 766
- uncorrected energy (eV/atom) = -5.403
- formation energy (eV/atom) = 0.943
- density (g/cm3) = 8.694

---

## La2MoAu (PBE)

Data for La2MoAu after structural relaxation.

Cell lengths 5.218, 5.218, 5.218 Å; angles 60.00, 60.00, 60.00 degrees
Atoms (fractional coordinates):
La 0.750 0.750 0.750
La 0.250 0.250 0.250
Mo 0.000 0.000 0.000
Au 0.500 0.500 0.500

Calculated values
- calculated volume (Å³/atom) = 25.12
- distance to the lowest polymorph of the same formula (meV/atom) = 86
- uncorrected energy (eV/atom) = -5.950
- formation energy (eV/atom) = 0.041
- density (g/cm3) = 9.432

---

## LaMoAu2 (PBE)

Data for LaMoAu2 after structural relaxation.

Cell lengths 5.468, 5.468, 5.468 Å; angles 132.90, 132.89, 68.82 degrees
Atoms (fractional coordinates):
Au 0.750 0.250 0.500
Au 0.000 0.000 0.000
Mo 0.250 0.750 0.500
La 0.500 0.500 0.000

Calculated values
- calculated volume (Å³/atom) = 21.54
- distance to the lowest polymorph of the same formula (meV/atom) = 55
- uncorrected energy (eV/atom) = -5.499
- formation energy (eV/atom) = 0.080
- density (g/cm3) = 12.121

---

## LaMoAu3 (PBE)

Data for LaMoAu3 after structural relaxation.

Cell lengths 5.347, 5.347, 5.347 Å; angles 90.00, 90.00, 90.00 degrees
Atoms (fractional coordinates):
La 0.000 0.000 0.000
Mo 0.500 0.500 0.500
Au 0.000 0.000 0.500
Au 0.000 0.500 0.000
Au 0.500 0.000 0.000

Calculated values
- calculated volume (Å³/atom) = 30.57
- distance to the lowest polymorph of the same formula (meV/atom) = 1285
- uncorrected energy (eV/atom) = -3.585
- formation energy (eV/atom) = 1.533
- density (g/cm3) = 8.971

---

| no. | total magnetization (μB/atom) |
| --- | --- |
| 1 | 0.248 |
| 2 | 0.000 |
| 3 | 0.174 |
| 4 | 0.000 |
| 5 | 1.076 |
| 6 | 0.000 |
| 7 | 0.714 |
| 8 | 0.000 |